(1)
Density functional theory data (PBE) for a relaxed structure of DyTeN.

Lattice parameters (Å, degrees): 4.161 4.805 7.593 90.00 94.38 90.00
Fractional coordinates of all 6 atoms:
Dy: 0.228 0.250 0.412
Dy: 0.772 0.750 0.588
Te: 0.439 0.750 0.194
Te: 0.561 0.250 0.806
N: 0.257 0.750 0.455
N: 0.743 0.250 0.545

Properties
crystal system = monoclinic

(2)
Density functional theory data (PBE) for a relaxed structure of Dy3TeN.

Lattice parameters (Å, degrees): 7.006 3.960 10.376 90.00 96.96 90.00
Fractional coordinates of all 10 atoms:
Dy: 0.131 0.250 0.106
Dy: 0.185 0.750 0.454
Dy: 0.256 0.250 0.767
Dy: 0.744 0.750 0.233
Dy: 0.815 0.250 0.546
Dy: 0.869 0.750 0.894
Te: 0.455 0.250 0.333
Te: 0.545 0.750 0.667
N: 0.027 0.250 0.889
N: 0.973 0.750 0.111

Properties
crystal system = monoclinic
density of states at the Fermi level = 7.51 states/eV/cell

(3)
Density functional theory data (PBE) for a relaxed structure of Dy3Te3N.

Lattice parameters (Å, degrees): 8.132 12.035 8.655 90.00 109.19 90.00
Fractional coordinates of all 28 atoms:
Dy: 0.100 0.023 0.360
Dy: 0.100 0.477 0.860
Dy: 0.268 0.708 0.154
Dy: 0.268 0.792 0.654
Dy: 0.341 0.088 0.795
Dy: 0.341 0.412 0.295
Dy: 0.659 0.588 0.705
Dy: 0.659 0.912 0.205
Dy: 0.732 0.208 0.346
Dy: 0.732 0.292 0.846
Dy: 0.900 0.523 0.140
Dy: 0.900 0.977 0.640
Te: 0.007 0.233 0.689
Te: 0.007 0.267 0.189
Te: 0.274 0.522 0.584
Te: 0.274 0.978 0.084
Te: 0.452 0.192 0.516
Te: 0.452 0.308 0.016
Te: 0.548 0.692 0.984
Te: 0.548 0.808 0.484
Te: 0.726 0.022 0.916
Te: 0.726 0.478 0.416
Te: 0.993 0.733 0.811
Te: 0.993 0.767 0.311
N: 0.174 0.535 0.123
N: 0.174 0.965 0.623
N: 0.826 0.035 0.377
N: 0.826 0.465 0.877

Properties
crystal system = monoclinic
offset from the most stable computed form = 0.0000 eV/atom

(4)
Density functional theory data (PBE) for a relaxed structure of Dy2TeN.

Lattice parameters (Å, degrees): 8.064 6.915 6.697 90.00 92.01 90.00
Fractional coordinates of all 16 atoms:
Dy: 0.084 0.166 0.361
Dy: 0.084 0.334 0.861
Dy: 0.284 0.676 0.548
Dy: 0.284 0.824 0.048
Dy: 0.716 0.176 0.952
Dy: 0.716 0.324 0.452
Dy: 0.916 0.666 0.139
Dy: 0.916 0.834 0.639
Te: 0.374 0.102 0.705
Te: 0.374 0.398 0.205
Te: 0.626 0.602 0.795
Te: 0.626 0.898 0.295
N: 0.107 0.667 0.844
N: 0.107 0.833 0.344
N: 0.893 0.167 0.656
N: 0.893 0.333 0.156

Properties
crystal system = monoclinic
density of states at the Fermi level = 6.81 states/eV/cell
offset from the most stable computed form = 0.0229 eV/atom

(5)
Density functional theory data (PBE) for a relaxed structure of Dy4Te3N2.

Lattice parameters (Å, degrees): 7.286 11.748 13.057 90.00 122.22 90.00
Fractional coordinates of all 36 atoms:
Dy: 0.061 0.159 0.388
Dy: 0.061 0.341 0.888
Dy: 0.131 0.105 0.164
Dy: 0.131 0.395 0.664
Dy: 0.227 0.639 0.860
Dy: 0.227 0.861 0.360
Dy: 0.293 0.085 0.814
Dy: 0.293 0.415 0.314
Dy: 0.707 0.585 0.686
Dy: 0.707 0.915 0.186
Dy: 0.773 0.139 0.640
Dy: 0.773 0.361 0.140
Dy: 0.869 0.605 0.336
Dy: 0.869 0.895 0.836
Dy: 0.939 0.659 0.112
Dy: 0.939 0.841 0.612
Te: 0.224 0.653 0.603
Te: 0.224 0.847 0.103
Te: 0.356 0.518 0.104
Te: 0.356 0.982 0.604
Te: 0.442 0.163 0.071
Te: 0.442 0.337 0.571
Te: 0.558 0.663 0.429
Te: 0.558 0.837 0.929
Te: 0.644 0.018 0.396
Te: 0.644 0.482 0.896
Te: 0.776 0.153 0.897
Te: 0.776 0.347 0.397
N: 0.019 0.012 0.269
N: 0.019 0.488 0.769
N: 0.083 0.240 0.745
N: 0.083 0.260 0.245
N: 0.917 0.740 0.755
N: 0.917 0.760 0.255
N: 0.981 0.512 0.231
N: 0.981 0.988 0.731

Properties
crystal system = monoclinic
offset from the most stable computed form = 0.0000 eV/atom

(6)
Density functional theory data (PBE) for a relaxed structure of Dy2TeN.

Lattice parameters (Å, degrees): 7.296 7.296 7.296 29.68 29.68 29.68
Fractional coordinates of all 4 atoms:
Dy: 0.000 0.000 0.000
Dy: 0.211 0.211 0.211
Te: 0.771 0.771 0.771
N: 0.601 0.601 0.601

Properties
crystal system = trigonal
density of states at the Fermi level = 2.58 states/eV/cell
offset from the most stable computed form = 0.0108 eV/atom

(7)
Density functional theory data (PBE) for a relaxed structure of Dy4Te3N2.

Lattice parameters (Å, degrees): 8.476 8.476 6.524 91.13 91.13 74.48
Fractional coordinates of all 18 atoms:
Dy: 0.060 0.669 0.975
Dy: 0.254 0.396 0.409
Dy: 0.331 0.940 0.525
Dy: 0.396 0.254 0.909
Dy: 0.604 0.746 0.091
Dy: 0.669 0.060 0.475
Dy: 0.746 0.604 0.591
Dy: 0.940 0.331 0.025
Te: 0.022 0.756 0.455
Te: 0.244 0.978 0.045
Te: 0.410 0.590 0.750
Te: 0.590 0.410 0.250
Te: 0.756 0.022 0.955
Te: 0.978 0.244 0.545
N: 0.168 0.411 0.077
N: 0.411 0.168 0.577
N: 0.589 0.832 0.423
N: 0.832 0.589 0.923

Properties
crystal system = monoclinic
offset from the most stable computed form = 0.0384 eV/atom

(8)
Density functional theory data (PBE) for a relaxed structure of Dy4Te3N2.

Lattice parameters (Å, degrees): 7.199 7.199 8.821 103.47 103.47 29.16
Fractional coordinates of all 9 atoms:
Dy: 0.091 0.091 0.200
Dy: 0.318 0.318 0.403
Dy: 0.682 0.682 0.597
Dy: 0.909 0.909 0.800
Te: 0.000 0.000 0.500
Te: 0.395 0.395 0.088
Te: 0.605 0.605 0.912
N: 0.300 0.300 0.655
N: 0.700 0.700 0.345

Properties
crystal system = monoclinic
density of states at the Fermi level = 0.52 states/eV/cell
offset from the most stable computed form = 0.1862 eV/atom

(9)
Density functional theory data (PBE) for a relaxed structure of Dy3ThN4.

Lattice parameters (Å, degrees): 6.100 6.100 3.534 90.00 90.00 109.33
Fractional coordinates of all 8 atoms:
Dy: 0.000 0.000 0.000
Dy: 0.000 0.500 0.500
Dy: 0.500 0.000 0.500
Th: 0.500 0.500 0.000
N: 0.248 0.248 0.500
N: 0.250 0.750 0.000
N: 0.750 0.250 0.000
N: 0.752 0.752 0.500

Properties
crystal system = orthorhombic
density of states at the Fermi level = 1.72 states/eV/cell
offset from the most stable computed form = 0.0000 eV/atom

(10)
Density functional theory data (PBE) for a relaxed structure of DyTh2N.

Lattice parameters (Å, degrees): 9.982 9.982 9.982 20.33 20.33 20.33
Fractional coordinates of all 4 atoms:
Dy: 0.000 0.000 0.000
Th: 0.116 0.116 0.116
Th: 0.884 0.884 0.884
N: 0.500 0.500 0.500

Properties
crystal system = trigonal
density of states at the Fermi level = 5.05 states/eV/cell

(11)
Density functional theory data (PBE) for a relaxed structure of Dy5ThN6.

Lattice parameters (Å, degrees): 6.078 6.078 6.078 99.59 99.59 119.99
Fractional coordinates of all 12 atoms:
Dy: 0.000 0.000 0.000
Dy: 0.166 0.834 0.500
Dy: 0.331 0.669 0.000
Dy: 0.669 0.331 0.000
Dy: 0.834 0.166 0.500
Th: 0.500 0.500 0.500
N: 0.082 0.416 0.249
N: 0.249 0.249 0.749
N: 0.416 0.082 0.249
N: 0.584 0.918 0.751
N: 0.751 0.751 0.251
N: 0.918 0.584 0.751

Properties
crystal system = monoclinic
density of states at the Fermi level = 1.62 states/eV/cell

(12)
Density functional theory data (PBE) for a relaxed structure of Dy4ThN4.

Lattice parameters (Å, degrees): 6.118 6.118 6.118 99.32 99.32 132.54
Fractional coordinates of all 9 atoms:
Dy: 0.107 0.314 0.421
Dy: 0.314 0.893 0.207
Dy: 0.686 0.107 0.793
Dy: 0.893 0.686 0.579
Th: 0.500 0.500 0.000
N: 0.201 0.596 0.797
N: 0.404 0.201 0.605
N: 0.596 0.799 0.395
N: 0.799 0.404 0.203

Properties
crystal system = tetragonal
density of states at the Fermi level = 2.98 states/eV/cell

(13)
Density functional theory data (PBE) for a relaxed structure of DyTh4N5.

Lattice parameters (Å, degrees): 6.279 6.279 6.279 99.64 99.64 131.68
Fractional coordinates of all 10 atoms:
Dy: 0.000 0.000 0.000
Th: 0.201 0.601 0.802
Th: 0.399 0.201 0.600
Th: 0.601 0.799 0.400
Th: 0.799 0.399 0.198
N: 0.100 0.295 0.395
N: 0.295 0.900 0.195
N: 0.500 0.500 0.000
N: 0.705 0.100 0.805
N: 0.900 0.705 0.605

Properties
crystal system = tetragonal
density of states at the Fermi level = 3.55 states/eV/cell

(14)
Density functional theory data (PBE) for a relaxed structure of Dy3ThN.

Lattice parameters (Å, degrees): 4.972 4.972 4.972 90.00 90.00 90.00
Fractional coordinates of all 5 atoms:
Dy: 0.000 0.000 0.500
Dy: 0.000 0.500 0.000
Dy: 0.500 0.000 0.000
Th: 0.500 0.500 0.500
N: 0.000 0.000 0.000

Properties
crystal system = cubic
density of states at the Fermi level = 7.72 states/eV/cell

(15)
Density functional theory data (PBE) for a relaxed structure of Dy2Th4N.

Lattice parameters (Å, degrees): 9.250 9.250 9.250 148.24 148.24 45.53
Fractional coordinates of all 7 atoms:
Dy: 0.148 0.148 0.000
Dy: 0.852 0.852 0.000
Th: 0.000 0.500 0.500
Th: 0.360 0.360 0.000
Th: 0.500 0.000 0.500
Th: 0.640 0.640 0.000
N: 0.500 0.500 0.000

Properties
crystal system = tetragonal
density of states at the Fermi level = 6.23 states/eV/cell

(16)
Density functional theory data (PBE) for a relaxed structure of Dy3ThN4.

Lattice parameters (Å, degrees): 4.991 4.991 4.991 90.00 90.00 90.00
Fractional coordinates of all 8 atoms:
Dy: 0.000 0.000 0.500
Dy: 0.000 0.500 0.000
Dy: 0.500 0.000 0.000
Th: 0.500 0.500 0.500
N: 0.000 0.000 0.000
N: 0.000 0.500 0.500
N: 0.500 0.000 0.500
N: 0.500 0.500 0.000

Properties
crystal system = cubic
density of states at the Fermi level = 1.75 states/eV/cell
offset from the most stable computed form = 0.0081 eV/atom

(17)
Density functional theory data (PBE) for a relaxed structure of Dy4ThN5.

Lattice parameters (Å, degrees): 6.091 6.091 6.091 99.59 99.59 131.81
Fractional coordinates of all 10 atoms:
Dy: 0.099 0.696 0.795
Dy: 0.304 0.099 0.402
Dy: 0.696 0.901 0.598
Dy: 0.901 0.304 0.205
Th: 0.500 0.500 0.000
N: 0.000 0.000 0.000
N: 0.199 0.401 0.600
N: 0.401 0.801 0.203
N: 0.599 0.199 0.797
N: 0.801 0.599 0.400

Properties
crystal system = tetragonal
density of states at the Fermi level = 2.36 states/eV/cell

(18)
Density functional theory data (PBE) for a relaxed structure of DyThTiN3.

Lattice parameters (Å, degrees): 7.108 3.578 8.358 90.00 95.95 90.00
Fractional coordinates of all 12 atoms:
Dy: 0.151 0.250 0.131
Dy: 0.849 0.750 0.869
Th: 0.363 0.750 0.832
Th: 0.637 0.250 0.168
Ti: 0.074 0.250 0.607
Ti: 0.926 0.750 0.393
N: 0.099 0.250 0.854
N: 0.162 0.750 0.555
N: 0.386 0.750 0.123
N: 0.614 0.250 0.877
N: 0.838 0.250 0.445
N: 0.901 0.750 0.146

Properties
crystal system = monoclinic
density of states at the Fermi level = 5.91 states/eV/cell

(19)
Density functional theory data (PBE) for a relaxed structure of Dy2ThTlN.

Lattice parameters (Å, degrees): 4.896 4.896 4.902 90.00 90.00 90.00
Fractional coordinates of all 5 atoms:
Dy: 0.000 0.500 0.000
Dy: 0.500 0.000 0.000
Th: 0.000 0.000 0.500
Tl: 0.500 0.500 0.500
N: 0.000 0.000 0.000

Properties
crystal system = tetragonal
density of states at the Fermi level = 2.22 states/eV/cell

(20)
Density functional theory data (PBE) for a relaxed structure of Dy2TmThN4.

Lattice parameters (Å, degrees): 6.072 3.518 6.074 90.00 109.31 90.00
Fractional coordinates of all 8 atoms:
Dy: 0.000 0.000 0.000
Dy: 0.500 0.500 0.000
Tm: 0.000 0.500 0.500
Th: 0.500 0.000 0.500
N: 0.245 0.500 0.249
N: 0.247 0.000 0.747
N: 0.753 0.000 0.253
N: 0.755 0.500 0.751

Properties
crystal system = monoclinic
density of states at the Fermi level = 1.72 states/eV/cell

(21)
Density functional theory data (PBE) for a relaxed structure of DyTmTh2N4.

Lattice parameters (Å, degrees): 6.147 3.562 6.166 90.00 109.52 90.00
Fractional coordinates of all 8 atoms:
Dy: 0.000 0.000 0.000
Tm: 0.000 0.500 0.500
Th: 0.500 0.000 0.500
Th: 0.500 0.500 0.000
N: 0.241 0.000 0.744
N: 0.243 0.500 0.250
N: 0.757 0.500 0.750
N: 0.759 0.000 0.256

Properties
crystal system = monoclinic
density of states at the Fermi level = 2.51 states/eV/cell

no.,total DFT energy (no corrections) (eV per atom),formation energy from raw total energies (meV/atom)
1,-6.298,-942
2,-6.083,-1029
3,-6.017,-1509
4,-6.528,-1361
5,-6.504,-1562
6,-6.541,-1373
7,-6.466,-1523
8,-6.318,-1376
9,-8.491,-1675
10,-7.393,-452
11,-8.395,-1697
12,-8.020,-1450
13,-9.174,-1583
14,-6.352,-441
15,-6.957,-213
16,-8.483,-1667
17,-8.436,-1691
18,-8.815,-1333
19,-6.284,-821
20,-8.491,-1692
21,-8.784,-1632